Record 1
Below is crystalline Mg3Re at its relaxed geometry, with properties calculated at the PBE-GGA level.

Raw total energy: -2.995 eV per atom
Energy relative to the elements: 1313 meV per atom
Total magnetic moment: 0.502 μB per atom
E above lowest polymorph: 1130.2 meV per atom

Unit cell a=5.2733 b=5.2733 c=5.2733 alpha=90.00 beta=90.00 gamma=90.00
With the nearest neighbours (Å) after each atom.
Positions (direct):
Mg1 0.0000 0.0000 0.5000  2 Re 2.64
Mg2 0.0000 0.5000 0.0000  2 Re 2.64
Mg3 0.5000 0.0000 0.0000  2 Re 2.64
Re1 0.0000 0.0000 0.0000  6 Mg 2.64

=====

Record 2
Below is crystalline Mg2Re at its relaxed geometry, with properties calculated at the PBE-GGA level.

Raw total energy: -4.905 eV per atom
Energy relative to the elements: 308 meV per atom
Total magnetic moment: 0.000 μB per atom
E above lowest polymorph: 82.4 meV per atom

Unit cell a=7.9933 b=7.9933 c=4.6352 alpha=90.00 beta=90.00 gamma=159.11
With the nearest neighbours (Å) after each atom.
Positions (direct):
Mg1 0.0632 0.9368 0.7500  8 Mg 2.88-3.05, 2 Re 2.94
Mg2 0.3790 0.6210 0.7500  4 Re 2.81-2.84, 6 Mg 2.88-2.90
Mg3 0.6210 0.3790 0.2500  4 Re 2.81-2.84, 6 Mg 2.88-2.90
Mg4 0.9368 0.0632 0.2500  8 Mg 2.88-3.05, 2 Re 2.94
Re1 0.2742 0.7258 0.2500  6 Mg 2.81-2.94, 6 Re 2.84-2.90
Re2 0.7258 0.2742 0.7500  6 Mg 2.81-2.94, 6 Re 2.84-2.90

=====

Record 3
Below is crystalline MgRe2 at its relaxed geometry, with properties calculated at the PBE-GGA level.

Raw total energy: -8.063 eV per atom
Energy relative to the elements: 767 meV per atom
Total magnetic moment: 0.000 μB per atom
E above lowest polymorph: 649.3 meV per atom

Unit cell a=5.0269 b=5.0269 c=5.0269 alpha=103.14 beta=103.14 gamma=123.05
With the nearest neighbours (Å) after each atom.
Positions (direct):
Mg1 0.2500 0.2500 0.0000  2 Mg 2.40
Mg2 0.7500 0.7500 0.0000  2 Mg 2.40
Re1 0.1376 0.6376 0.7753  1 Re 2.43, 4 Mg 2.70
Re2 0.3624 0.1376 0.5000  1 Re 2.43, 4 Mg 2.70
Re3 0.6376 0.8624 0.5000  1 Re 2.43, 4 Mg 2.70
Re4 0.8624 0.3624 0.2247  1 Re 2.43, 4 Mg 2.70